Record 1
Below is a relaxed NiPd2PtSe crystal, with properties calculated at the PBE level.

## Properties
The space group is P4/mmm, No. 123. As for the total energy: -0.16518 hartree per atom.

Cell lengths 4.6373, 4.6643, 4.6373 Å; angles 90.00, 90.00, 90.00 degrees
With the nearest neighbours (Å) after each atom.
Positions (direct):
Pd 0.5000 0.0000 0.0000  2 Se 2.32
Se 0.0000 0.0000 0.0000  4 Pd 2.32, 2 Pt 2.33
Ni 0.5000 0.5000 0.5000  4 Pt 3.28, 8 Pd 3.29
Pd 0.0000 0.0000 0.5000  2 Se 2.32
Pt 0.0000 0.5000 0.0000  2 Se 2.33

---

Record 2
Below is a relaxed Na2Pb crystal, with properties calculated at the PBE level.

## Properties
The space group is C2/m, No. 12. For the formation energy, the calculation gives -0.150 eV per atom.

Cell lengths 3.4189, 5.3945, 5.3962 Å; angles 59.76, 90.36, 90.39 degrees
With the nearest neighbours (Å) after each atom.
Positions (direct):
Na 0.8834 0.8338 0.8337  5 Na 3.21-3.42, 3 Pb 3.38
Pb 0.5000 0.5000 0.5000  10 Na 3.38-3.75, 2 Pb 3.42
Na 0.1166 0.1662 0.1663  5 Na 3.21-3.42, 3 Pb 3.38

---

Record 3
Below is a relaxed NbAl2SiSb crystal, with properties calculated at the PBE level.

## Properties
The space group is P4/mmm, No. 123. As for the total energy: -0.14648 hartree per atom.

Cell lengths 5.0806, 5.2261, 5.0806 Å; angles 90.00, 90.00, 90.00 degrees
With the nearest neighbours (Å) after each atom.
Positions (direct):
Al 0.5000 0.0000 0.0000  2 Sb 2.54
Nb 0.0000 0.5000 0.0000  2 Sb 2.61
Sb 0.0000 0.0000 0.0000  4 Al 2.54, 2 Nb 2.61
Si 0.5000 0.5000 0.5000  4 Nb 3.59, 8 Al 3.64
Al 0.0000 0.0000 0.5000  2 Sb 2.54

---

Record 4
Below is a relaxed ReAs2Ru crystal, with properties calculated at the PBE level.

## Properties
The space group is Cmmm, No. 65. The calculation puts the energy relative to the lowest polymorph listed for this composition at 180.8 kJ/mol of formula units. For the formation energy, the calculation gives 0.493 eV per atom.

Cell lengths 3.0050, 3.0050, 8.0433 Å; angles 90.00, 90.00, 119.42 degrees
With the nearest neighbours (Å) after each atom.
Positions (direct):
Ru 0.5000 0.5000 0.7500  4 As 2.50
As 0.0000 0.0000 0.9968  2 Ru 2.50, 2 Re 2.54
Re 0.5000 0.5000 0.2500  4 As 2.54
As 0.0000 0.0000 0.5032  2 Ru 2.50, 2 Re 2.54

---

Record 5
Below is a relaxed NaIn2Pb crystal, with properties calculated at the PBE level.

## Properties
The space group is Imma, No. 74. For the formation energy, the calculation gives -0.090 eV per atom.

Cell lengths 6.7707, 6.7509, 6.7509 Å; angles 60.76, 59.90, 59.90 degrees
With the nearest neighbours (Å) after each atom.
Positions (direct):
Pb 0.5000 0.5000 0.0000  4 Na 3.38, 6 In 3.38-3.41, 2 Pb 3.39
Na 0.0000 0.0000 0.0000  4 Pb 3.38, 8 In 3.38-3.41
In 0.0000 0.5000 0.5000  4 In 3.38, 4 Pb 3.38, 4 Na 3.39-3.41
In 0.5000 0.0000 0.0000  4 Pb 3.38, 4 In 3.38, 4 Na 3.39-3.41
In 0.0000 0.0000 0.5000  4 Na 3.38, 6 In 3.38-3.39, 2 Pb 3.41
Na 0.5000 0.5000 0.5000  8 In 3.38-3.41, 4 Pb 3.38
Pb 0.0000 0.5000 0.0000  6 In 3.38-3.41, 4 Na 3.38, 2 Pb 3.39
In 0.5000 0.0000 0.5000  6 In 3.38-3.39, 4 Na 3.38, 2 Pb 3.41

---

Record 6
Below is a relaxed Pm4PrN5 crystal, with properties calculated at the PBE level.

## Properties
The space group is I4, No. 79. As for the total energy: -0.29204 hartree per atom.

Cell lengths 5.1605, 6.2811, 6.2811 Å; angles 80.28, 65.75, 65.75 degrees
With the nearest neighbours (Å) after each atom.
Positions (direct):
Pm 0.6096 0.5998 0.2010  6 N 2.48-2.68
Pm 0.8107 0.7990 0.5998  6 N 2.48-2.68
N 0.2943 0.7979 0.5960  5 Pm 2.48-2.68, 1 Pr 2.59
N 0.0922 0.5960 0.2021  5 Pm 2.48-2.68, 1 Pr 2.59
N 0.4963 0.0000 0.0000  2 Pr 2.51-2.65, 4 Pm 2.57
Pm 0.4104 0.4002 0.7990  6 N 2.48-2.68
Pr 0.0090 0.0000 0.0000  6 N 2.51-2.65
N 0.8903 0.4040 0.7979  5 Pm 2.48-2.68, 1 Pr 2.59
Pm 0.2094 0.2010 0.4002  6 N 2.48-2.68
N 0.6882 0.2021 0.4040  5 Pm 2.48-2.68, 1 Pr 2.59

---

Record 7
Below is a relaxed YZrRu4 crystal, with properties calculated at the PBE level.

## Properties
The space group is F-43m, No. 216. For the formation energy, the calculation gives -0.301 eV per atom.

Cell lengths 5.2772, 5.2772, 5.2772 Å; angles 60.00, 60.00, 60.00 degrees
With the nearest neighbours (Å) after each atom.
Positions (direct):
Ru 0.1240 0.6253 0.6253  6 Ru 2.63-2.65
Y 0.2500 0.2500 0.2500  12 Ru 3.09, 4 Zr 3.23
Ru 0.6253 0.6253 0.1240  6 Ru 2.63-2.65
Ru 0.6253 0.1240 0.6253  6 Ru 2.63-2.65
Ru 0.6253 0.6253 0.6253  6 Ru 2.63-2.65
Zr 0.0000 0.0000 0.0000  12 Ru 3.09, 4 Y 3.23

---

Record 8
Below is a relaxed Rb3VCl8 crystal, with properties calculated at the PBE level.

## Properties
The space group is P6_3mc, No. 186. The calculation puts the energy relative to the lowest polymorph listed for this composition at 0.0 kJ/mol of formula units.

Cell lengths 9.0458, 9.8394, 9.8394 Å; angles 120.00, 90.00, 90.00 degrees
With the nearest neighbours (Å) after each atom.
Positions (direct):
Cl 0.7980 0.4472 0.2236  1 V 2.31
Cl 0.4570 0.0000 0.0000  6 Rb 3.40-3.48
Cl 0.7980 0.7764 0.5528  1 V 2.31
Cl 0.2980 0.5528 0.7764  1 V 2.31
V 0.6483 0.6667 0.3333  6 Cl 2.27-2.31
Cl 0.6570 0.3333 0.6667  3 Rb 3.11
Rb 0.2003 0.8480 0.1520  5 Cl 3.11-3.48
Rb 0.7003 0.1520 0.3041  5 Cl 3.11-3.48
Cl 0.5054 0.5574 0.1149  1 V 2.27
Cl 0.2980 0.2236 0.7764  1 V 2.31
Cl 0.9570 0.0000 0.0000  6 Rb 3.40-3.48
Cl 0.7980 0.7764 0.2236  1 V 2.31
Cl 0.5054 0.5574 0.4426  1 V 2.27
Rb 0.7003 0.1520 0.8480  5 Cl 3.11-3.48
Cl 0.0054 0.1149 0.5574  1 V 2.27
Rb 0.7003 0.6959 0.8480  5 Cl 3.11-3.48
V 0.1483 0.3333 0.6667  6 Cl 2.27-2.31
Cl 0.5054 0.8851 0.4426  1 V 2.27
Cl 0.2980 0.2236 0.4472  1 V 2.31
Cl 0.0054 0.4426 0.5574  1 V 2.27
Rb 0.2003 0.3041 0.1520  5 Cl 3.11-3.48
Cl 0.0054 0.4426 0.8851  1 V 2.27
Rb 0.2003 0.8480 0.6959  5 Cl 3.11-3.48
Cl 0.1570 0.6667 0.3333  3 Rb 3.11

---

Record 9
Below is a relaxed K2Cd4Pt crystal, with properties calculated at the PBE level.

## Properties
The space group is Cmmm, No. 65. The calculation puts the energy relative to the lowest polymorph listed for this composition at 0.0 kJ/mol of formula units. For the formation energy, the calculation gives -0.169 eV per atom.

Cell lengths 5.3317, 5.3091, 8.1371 Å; angles 109.04, 90.00, 90.00 degrees
With the nearest neighbours (Å) after each atom.
Positions (direct):
Cd 0.0000 0.5000 0.0000  2 Pt 2.65
Pt 0.0000 0.0000 0.0000  6 Cd 2.65-2.73
Cd 0.0000 0.8222 0.6445  1 Pt 2.73
Cd 0.0000 0.1778 0.3555  1 Pt 2.73
K 0.5000 0.3488 0.6977  10 Cd 3.53-3.78
Cd 0.5000 0.0000 0.0000  2 Pt 2.67
K 0.5000 0.6512 0.3023  10 Cd 3.53-3.78

---

Record 10
Below is a relaxed LaRe2Hg crystal, with properties calculated at the PBE level.

## Properties
The space group is R3m, No. 160. The calculation puts the energy relative to the lowest polymorph listed for this composition at 121.7 kJ/mol of formula units. For the formation energy, the calculation gives 0.491 eV per atom.

Cell lengths 10.4941, 10.4941, 10.4941 Å; angles 16.23, 16.23, 16.23 degrees
With the nearest neighbours (Å) after each atom.
Positions (direct):
Re 0.9886 0.9886 0.9886  3 Re 2.63
La 0.7447 0.7447 0.7447  6 La 2.96, 3 Re 3.26
Re 0.2576 0.2576 0.2576  3 Re 2.63
Hg 0.5092 0.5092 0.5092  6 Hg 2.96, 3 Re 3.06

---

Record 11
Below is a relaxed Ho2ScFe9 crystal, with properties calculated at the PBE level.

## Properties
The space group is R-3m, No. 166. For the formation energy, the calculation gives -0.081 eV per atom.

Cell lengths 5.0098, 5.0098, 8.5436 Å; angles 72.95, 72.95, 60.00 degrees
With the nearest neighbours (Å) after each atom.
Positions (direct):
Ho 0.8590 0.8590 0.4229  12 Fe 2.90-3.05, 3 Ho 3.15
Fe 0.4190 0.4190 0.2423  7 Fe 2.42-2.53
Fe 0.6670 0.6670 0.9990  6 Fe 2.42-2.43
Fe 0.5000 0.5000 0.5000  6 Fe 2.53
Fe 0.3330 0.3330 0.0010  6 Fe 2.42-2.43
Ho 0.1410 0.1410 0.5771  12 Fe 2.90-3.05, 3 Ho 3.15
Fe 0.0802 0.5810 0.7577  7 Fe 2.42-2.53
Fe 0.5810 0.0802 0.7577  7 Fe 2.42-2.53
Fe 0.4190 0.9198 0.2423  7 Fe 2.42-2.53
Fe 0.5810 0.5810 0.7577  7 Fe 2.42-2.53
Sc 0.0000 0.0000 0.0000  18 Fe 2.89-3.17
Fe 0.9198 0.4190 0.2423  7 Fe 2.42-2.53

---

Record 12
Below is a relaxed PuCd3Rh crystal, with properties calculated at the PBE level.

## Properties
The space group is C2/m, No. 12. The calculation puts the energy relative to the lowest polymorph listed for this composition at 70.6 kJ/mol of formula units. For the formation energy, the calculation gives -0.074 eV per atom.

Cell lengths 6.6841, 6.6841, 7.0248 Å; angles 103.88, 119.01, 103.78 degrees
With the nearest neighbours (Å) after each atom.
Positions (direct):
Cd 0.7688 0.5162 0.6410  2 Rh 2.69-2.91, 2 Cd 2.94-2.99
Cd 0.8752 0.1278 0.3590  2 Rh 2.69-2.91, 2 Cd 2.94-2.99
Cd 0.7024 0.4395 0.1420  2 Rh 2.77-2.80, 3 Cd 2.92-2.99
Cd 0.2312 0.4838 0.3590  2 Rh 2.69-2.91, 2 Cd 2.94-2.99
Cd 0.2976 0.5605 0.8580  2 Rh 2.77-2.80, 3 Cd 2.92-2.99
Pu 0.7484 0.0482 0.7966  2 Rh 2.72-2.73
Rh 0.5895 0.7648 0.3543  6 Cd 2.69-2.91, 2 Pu 2.72-2.73
Rh 0.4105 0.2352 0.6457  6 Cd 2.69-2.91, 2 Pu 2.72-2.73
Cd 0.1248 0.8722 0.6410  2 Rh 2.69-2.91, 2 Cd 2.94-2.99
Pu 0.2516 0.9518 0.2034  2 Rh 2.72-2.73

---

Record 13
Below is a relaxed Zr2CrTe crystal, with properties calculated at the PBE level.

## Properties
The space group is I-42d, No. 122. As for the total energy: -0.24440 hartree per atom.

Cell lengths 6.0745, 6.0745, 7.3915 Å; angles 65.74, 65.74, 90.00 degrees
With the nearest neighbours (Å) after each atom.
Positions (direct):
Zr 0.5406 0.1250 0.2500  2 Cr 2.36
Cr 0.2500 0.7500 0.5000  4 Zr 2.36
Zr 0.2094 0.6250 0.2500  2 Cr 2.36
Zr 0.3750 0.4594 0.7500  2 Cr 2.36
Te 0.7500 0.2500 0.5000  4 Zr 2.95
Cr 0.5000 0.5000 0.0000  4 Zr 2.36
Zr 0.8750 0.7906 0.7500  2 Cr 2.36
Te 0.0000 0.0000 0.0000  4 Zr 2.95

---

Record 14
Below is a relaxed CuBBr2 crystal, with properties calculated at the PBE level.

## Properties
The space group is Fm-3m, No. 225. The calculation puts the energy relative to the lowest polymorph listed for this composition at 125.9 kJ/mol of formula units.

Cell lengths 4.7678, 4.7678, 4.7678 Å; angles 60.00, 60.00, 60.00 degrees
With the nearest neighbours (Å) after each atom.
Positions (direct):
Cu 0.5000 0.5000 0.5000  8 Br 2.92
B 0.0000 0.0000 0.0000  8 Br 2.92
Br 0.7500 0.7500 0.7500  4 Cu 2.92, 4 B 2.92
Br 0.2500 0.2500 0.2500  4 Cu 2.92, 4 B 2.92

---

Record 15
Below is a relaxed LiZnSb4O8 crystal, with properties calculated at the PBE level.

## Properties
The space group is P1, No. 1. The calculation puts the energy relative to the lowest polymorph listed for this composition at 31.4 kJ/mol of formula units.

Cell lengths 3.4035, 7.2656, 9.0135 Å; angles 111.35, 99.47, 90.69 degrees
With the nearest neighbours (Å) after each atom.
Positions (direct):
O 0.2358 0.0357 0.5977  1 Zn 1.99, 1 Sb 2.07
O 0.5211 0.3468 0.2368  1 Li 1.96, 2 Sb 2.11-2.16
O 0.3969 0.4059 0.9607  2 Sb 2.15-2.23, 1 Zn 2.30
Sb 0.8355 0.6473 0.8529  3 O 2.00-2.10
Sb 0.9766 0.3923 0.1105  6 O 2.11-2.23
O 0.6005 0.0324 0.3586  1 Li 1.95, 2 Sb 2.03-2.18
O 0.3006 0.7413 0.7632  2 Sb 2.09-2.10, 1 Zn 2.22
O 0.7592 0.3887 0.6638  2 Sb 2.00-2.11
Zn 0.3336 0.0675 0.8300  4 O 1.99-2.22
Sb 0.2335 0.2497 0.4970  3 O 2.07-2.18
Li 0.5318 0.0569 0.1472  2 O 1.95-1.96
O 0.8946 0.0779 0.9723  2 Zn 2.10-2.11, 1 Sb 2.16, 1 Li 2.20
O 0.0575 0.7016 0.2745  3 Sb 2.13-2.24
Sb 0.6115 0.8049 0.4383  3 O 2.03-2.24

---

Record 16
Below is a relaxed Tl3B2H8 crystal, with properties calculated at the PBE level.

## Properties
The space group is R-3m, No. 166. As for the total energy: -0.13364 hartree per atom.

Cell lengths 4.4519, 4.4519, 11.5287 Å; angles 78.87, 78.87, 60.00 degrees
With the nearest neighbours (Å) after each atom.
Positions (direct):
H 0.6389 0.6389 0.0832  1 B 1.24
B 0.3979 0.3979 0.8063  4 H 1.23-1.24
Tl 0.7969 0.7969 0.6092  6 H 2.88
H 0.2582 0.7122 0.7715  1 B 1.23
H 0.2878 0.7418 0.2285  1 B 1.23
H 0.2582 0.2582 0.7715  1 B 1.23
B 0.6021 0.6021 0.1937  4 H 1.23-1.24
H 0.3611 0.3611 0.9168  1 B 1.24
Tl 0.0000 0.0000 0.0000  12 H 2.74-2.93
H 0.7418 0.7418 0.2285  1 B 1.23
H 0.7418 0.2878 0.2285  1 B 1.23
H 0.7122 0.2582 0.7715  1 B 1.23
Tl 0.2031 0.2031 0.3908  6 H 2.88

---

Record 17
Below is a relaxed AcBi2SbPt2 crystal, with properties calculated at the PBE level.

## Properties
The space group is I4/mmm, No. 139. As for the total energy: -0.18320 hartree per atom.

Cell lengths 5.5954, 5.5954, 7.0045 Å; angles 113.54, 113.54, 90.00 degrees
With the nearest neighbours (Å) after each atom.
Positions (direct):
Bi 0.2500 0.7500 0.5000  4 Pt 2.80
Sb 0.0000 0.0000 0.0000  2 Pt 2.73
Bi 0.7500 0.2500 0.5000  4 Pt 2.80
Ac 0.5000 0.5000 0.0000  2 Pt 3.05
Pt 0.7635 0.7635 0.5270  1 Sb 2.73, 4 Bi 2.80, 1 Ac 3.05
Pt 0.2365 0.2365 0.4730  1 Sb 2.73, 4 Bi 2.80, 1 Ac 3.05

---

Record 18
Below is a relaxed SrGdCdIr crystal, with properties calculated at the PBE level.

## Properties
The space group is F-43m, No. 216. For the formation energy, the calculation gives -0.252 eV per atom.

Cell lengths 5.2023, 5.2023, 5.2023 Å; angles 60.00, 60.00, 60.00 degrees
With the nearest neighbours (Å) after each atom.
Positions (direct):
Gd 0.5000 0.5000 0.5000  4 Cd 3.19, 4 Ir 3.19
Cd 0.7500 0.7500 0.7500  4 Gd 3.19, 4 Sr 3.19
Sr 0.0000 0.0000 0.0000  4 Ir 3.19, 4 Cd 3.19
Ir 0.2500 0.2500 0.2500  4 Gd 3.19, 4 Sr 3.19

---

Record 19
Below is a relaxed CaPm2Pt crystal, with properties calculated at the PBE level.

## Properties
The space group is P4/mmm, No. 123. The calculation puts the energy relative to the lowest polymorph listed for this composition at 30.2 kJ/mol of formula units. For the formation energy, the calculation gives -0.507 eV per atom.

Cell lengths 3.6303, 3.6303, 9.5456 Å; angles 90.00, 90.00, 90.00 degrees
With the nearest neighbours (Å) after each atom.
Positions (direct):
Pm 0.0000 0.0000 0.8249  4 Pt 3.06, 1 Pm 3.34
Pm 0.0000 0.0000 0.1751  4 Pt 3.06, 1 Pm 3.34
Pt 0.5000 0.5000 0.0000  8 Pm 3.06
Ca 0.5000 0.5000 0.5000  4 Ca 3.63, 8 Pm 4.03

---

Record 20
Below is a relaxed Mn2Ni crystal, with properties calculated at the PBE level.

## Properties
The space group is Fd-3m, No. 227. For the formation energy, the calculation gives 0.282 eV per atom.

Cell lengths 4.5732, 4.5732, 4.5732 Å; angles 60.00, 60.00, 60.00 degrees
With the nearest neighbours (Å) after each atom.
Positions (direct):
Mn 0.1250 0.6250 0.1250  6 Mn 2.29
Ni 0.7500 0.7500 0.7500  12 Mn 2.68, 4 Ni 2.80
Mn 0.1250 0.1250 0.1250  6 Mn 2.29
Ni 0.5000 0.5000 0.5000  12 Mn 2.68, 4 Ni 2.80
Mn 0.1250 0.1250 0.6250  6 Mn 2.29
Mn 0.6250 0.1250 0.1250  6 Mn 2.29